## Tb2SmTm2Mg2 (GGA-PBE)

Data for a relaxed Tb2SmTm2Mg2 crystal.

Cell: 5.443 5.443 8.585 Å, 71.52 71.52 60.00°
Sites, in units of the cell vectors:
Tm1 0.845 0.845 0.465
Tm2 0.155 0.155 0.535
Mg1 0.289 0.289 0.134
Mg2 0.711 0.711 0.866
Tb1 0.572 0.572 0.283
Tb2 0.428 0.428 0.717
Sm1 0.000 0.000 0.000

Summary:
For the calculated formation energy, the calculation gives -0.031 eV/atom. As for the density of states at the Fermi level: 1.212 states/eV per atom. The value obtained for the spin magnetization is 0.0 μB/f.u.